Entry 1:
Here is crystalline Mg3PdCl at its relaxed geometry from Alexandria via LeMat-Bulk. Energies are from PBE.

```
data_Mg3PdCl
_space_group_name_H-M_alt 'P m -3 m'
_space_group_IT_number 221
_space_group_name_Hall '-P 4 2 3'
_cell_length_a 5.067
_cell_length_b 5.067
_cell_length_c 5.067
_cell_angle_alpha 90.00
_cell_angle_beta 90.00
_cell_angle_gamma 90.00
loop_
_atom_site_label
_atom_site_type_symbol
_atom_site_fract_x
_atom_site_fract_y
_atom_site_fract_z
Mg1 Mg 0.000 0.000 0.500
Pd1 Pd 0.000 0.000 0.000
Cl1 Cl 0.500 0.500 0.500
```

Summary:
The crystal system is cubic. The raw formation energy is -0.38 eV per atom.

***

Entry 2:
Here is crystalline Li2Dy2YPb2 at its relaxed geometry from Alexandria via LeMat-Bulk. Energies are from PBE.

```
data_Li2Dy2YPb2
_space_group_name_H-M_alt 'R -3 m'
_space_group_IT_number 166
_space_group_name_Hall '-R 3 2"'
_cell_length_a 4.8306
_cell_length_b 4.8306
_cell_length_c 26.7784
_cell_angle_alpha 90.00
_cell_angle_beta 90.00
_cell_angle_gamma 120.00
loop_
_atom_site_label
_atom_site_type_symbol
_atom_site_fract_x
_atom_site_fract_y
_atom_site_fract_z
Li1 Li 0.0000 0.0000 0.0962
Dy1 Dy 0.0000 0.0000 0.3709
Y1 Y 0.0000 0.0000 0.5000
Pb1 Pb 0.0000 0.0000 0.2359
```

Summary:
The calculation puts the formation energy at -2.19 eV per formula unit. The crystal system is trigonal.

***

Entry 3:
Here is crystalline LaSc2BiN at its relaxed geometry from Alexandria via LeMat-Bulk. Energies are from PBE.

```
data_LaSc2BiN
_space_group_name_H-M_alt 'P 4/m m m'
_space_group_IT_number 123
_space_group_name_Hall '-P 4 2'
_cell_length_a 4.565
_cell_length_b 4.565
_cell_length_c 5.258
_cell_angle_alpha 90.00
_cell_angle_beta 90.00
_cell_angle_gamma 90.00
loop_
_atom_site_label
_atom_site_type_symbol
_atom_site_fract_x
_atom_site_fract_y
_atom_site_fract_z
La1 La 0.000 0.000 0.000
Sc1 Sc 0.000 0.500 0.500
Bi1 Bi 0.500 0.500 0.000
N1 N 0.000 0.000 0.500
```

Summary:
The crystal system is tetragonal. The raw formation energy is -0.92 eV per atom.

***

One value per record, in order, for DOS(E_F): 1.5; 13.9; 6.2 states/eV/cell.